DFT (PBE) results for a geometry-optimized La2SmSb structure.

Computed properties:
**Energy above the lowest structure with this stoichiometry**: 202 meV per atom
**E_form (uncorrected)**: -0.3913 eV/atom
**Magnetization**: 0.79 μB/cell

The structure in POSCAR format:
```
La2SmSb
1.0
2.092 1.208 9.860
-2.092 1.208 9.860
0.000 -2.416 9.860
La Sm Sb
2 1 1
Direct
0.000 0.000 0.000
0.195 0.195 0.195
0.431 0.431 0.431
0.598 0.598 0.598
```